Compound: Mg2In4Ga
Source: the Alexandria database
Functional: PBE
Structure: optimized geometry

The calculation puts the energy above the most stable polymorph in this dataset at 0.044 eV/atom. The calculation puts the energy at -2.4365 eV/atom.

The space group is Cccm (No. 66) and the conventional cell measures 9.443, 10.386 and 7.191 Å, with angles of 90.00, 90.00 and 90.00 degrees. The asymmetric unit holds Mg at (0.018, 0.220, 0.000), In at (0.177, 0.489, 0.000), In at (0.250, 0.250, 0.278) and Ga at (0.000, 0.000, 0.250).